Entry 1:
Compound: Tm2TlCd
Source: Alexandria
Functional: meta-GGA SCAN
Structure: PBEsol geometry

Energy of formation from the pure elements = -0.47 eV/atom
Total moment = 0.006 μB per atom

Structure (CIF):
```
data_Tm2TlCd
_chemical_formula_sum 'Tm2 Tl1 Cd1'
_symmetry_space_group_name_H-M 'P 1'
_symmetry_Int_Tables_number 1
_symmetry_space_group_name_Hall 'P 1'
_cell_length_a 5.163
_cell_length_b 5.163
_cell_length_c 5.163
_cell_angle_alpha 60.00
_cell_angle_beta 60.00
_cell_angle_gamma 60.00
loop_
_atom_site_label
_atom_site_fract_x
_atom_site_fract_y
_atom_site_fract_z
Tm1 0.250 0.250 0.250
Cd1 0.500 0.500 0.500
Tm2 0.750 0.750 0.750
Tl1 0.000 0.000 0.000
```

---

Entry 2:
Compound: BiSb2IO
Source: Alexandria
Functional: meta-GGA SCAN
Structure: PBEsol geometry

Total moment = 0.000 μB per atom
Distance to the lowest polymorph of the same formula = 0.0 meV/atom
ΔE_f (raw) = 0.172 eV/atom

Structure (CIF):
```
data_BiSb2IO
_chemical_formula_sum 'Bi1 Sb2 I1 O1'
_symmetry_space_group_name_H-M 'P 1'
_symmetry_Int_Tables_number 1
_symmetry_space_group_name_Hall 'P 1'
_cell_length_a 4.528
_cell_length_b 4.528
_cell_length_c 6.274
_cell_angle_alpha 90.00
_cell_angle_beta 90.00
_cell_angle_gamma 90.00
loop_
_atom_site_label
_atom_site_fract_x
_atom_site_fract_y
_atom_site_fract_z
Sb1 0.000 0.500 0.000
Sb2 0.500 0.000 0.000
I1 0.000 0.000 0.500
O1 0.000 0.000 0.000
Bi1 0.500 0.500 0.500
```

---

Entry 3:
Compound: Rb4In2S5
Source: Alexandria
Functional: meta-GGA SCAN
Structure: PBEsol geometry

Total moment = 0.002 μB per atom
ΔE_f (raw) = -1.201 eV/atom

Structure (CIF):
```
data_Rb4In2S5
_chemical_formula_sum 'Rb8 In4 S10'
_symmetry_space_group_name_H-M 'P 1'
_symmetry_Int_Tables_number 1
_symmetry_space_group_name_Hall 'P 1'
_cell_length_a 7.553
_cell_length_b 9.323
_cell_length_c 10.808
_cell_angle_alpha 72.72
_cell_angle_beta 70.38
_cell_angle_gamma 85.71
loop_
_atom_site_label
_atom_site_fract_x
_atom_site_fract_y
_atom_site_fract_z
Rb1 0.544 0.183 0.547
S1 0.213 0.479 0.043
S2 0.742 0.110 0.820
In1 0.030 0.997 0.341
Rb2 0.506 0.792 0.914
Rb3 0.456 0.817 0.453
S3 0.798 0.133 0.233
S4 0.824 0.842 0.570
Rb4 0.892 0.817 0.089
Rb5 0.771 0.472 0.663
In2 0.126 0.593 0.828
Rb6 0.229 0.528 0.337
Rb7 0.494 0.208 0.086
In3 0.970 0.003 0.659
S5 0.787 0.521 0.957
In4 0.874 0.407 0.172
Rb8 0.108 0.183 0.911
S6 0.202 0.867 0.767
S7 0.258 0.890 0.180
S8 0.273 0.478 0.649
S9 0.176 0.158 0.430
S10 0.727 0.522 0.351
```

---

Entry 4:
Compound: LiMgRh2
Source: Alexandria
Functional: meta-GGA SCAN
Structure: PBEsol geometry

Energy of formation from the pure elements = -0.27 eV/atom
Total moment = 0.001 μB per atom

Structure (CIF):
```
data_LiMgRh2
_chemical_formula_sum 'Li1 Mg1 Rh2'
_symmetry_space_group_name_H-M 'P 1'
_symmetry_Int_Tables_number 1
_symmetry_space_group_name_Hall 'P 1'
_cell_length_a 2.892
_cell_length_b 4.249
_cell_length_c 4.503
_cell_angle_alpha 90.00
_cell_angle_beta 90.00
_cell_angle_gamma 90.00
loop_
_atom_site_label
_atom_site_fract_x
_atom_site_fract_y
_atom_site_fract_z
Rh1 0.000 0.000 0.000
Rh2 0.500 0.000 0.500
Li1 0.500 0.500 0.000
Mg1 0.000 0.500 0.500
```

---

Entry 5:
Compound: NdCl2
Source: Alexandria
Functional: meta-GGA SCAN
Structure: PBEsol geometry

Total moment = 0.054 μB per atom
ΔE_f (raw) = -2.198 eV/atom

Structure (CIF):
```
data_NdCl2
_chemical_formula_sum 'Nd2 Cl4'
_symmetry_space_group_name_H-M 'P 1'
_symmetry_Int_Tables_number 1
_symmetry_space_group_name_Hall 'P 1'
_cell_length_a 3.535
_cell_length_b 7.046
_cell_length_c 7.046
_cell_angle_alpha 90.00
_cell_angle_beta 90.00
_cell_angle_gamma 90.00
loop_
_atom_site_label
_atom_site_fract_x
_atom_site_fract_y
_atom_site_fract_z
Cl1 0.500 0.220 0.780
Cl2 0.000 0.280 0.280
Cl3 0.000 0.720 0.720
Nd1 0.000 0.000 0.000
Nd2 0.500 0.500 0.500
Cl4 0.500 0.780 0.220
```

---

Entry 6:
Compound: Mn2BeTe
Source: Alexandria
Functional: meta-GGA SCAN
Structure: PBEsol geometry

Total moment = 0.611 μB per atom
Distance to the lowest polymorph of the same formula = 464.7 meV/atom
ΔE_f (raw) = 0.580 eV/atom

Structure (CIF):
```
data_Mn2BeTe
_chemical_formula_sum 'Mn4 Be2 Te2'
_symmetry_space_group_name_H-M 'P 1'
_symmetry_Int_Tables_number 1
_symmetry_space_group_name_Hall 'P 1'
_cell_length_a 3.672
_cell_length_b 3.672
_cell_length_c 8.584
_cell_angle_alpha 102.35
_cell_angle_beta 102.35
_cell_angle_gamma 90.00
loop_
_atom_site_label
_atom_site_fract_x
_atom_site_fract_y
_atom_site_fract_z
Mn1 0.787 0.375 0.250
Be1 0.500 0.500 0.000
Mn2 0.625 0.537 0.750
Be2 0.750 0.250 0.500
Te1 0.250 0.750 0.500
Te2 0.000 0.000 0.000
Mn3 0.125 0.213 0.750
Mn4 0.463 0.875 0.250
```

---

Entry 7:
Compound: LiCaNO2
Source: Alexandria
Functional: meta-GGA SCAN
Structure: PBEsol geometry

Total moment = 0.800 μB per atom
ΔE_f (raw) = -0.192 eV/atom

Structure (CIF):
```
data_LiCaNO2
_chemical_formula_sum 'Li1 Ca1 N1 O2'
_symmetry_space_group_name_H-M 'P 1'
_symmetry_Int_Tables_number 1
_symmetry_space_group_name_Hall 'P 1'
_cell_length_a 4.369
_cell_length_b 4.369
_cell_length_c 4.627
_cell_angle_alpha 90.00
_cell_angle_beta 90.00
_cell_angle_gamma 90.00
loop_
_atom_site_label
_atom_site_fract_x
_atom_site_fract_y
_atom_site_fract_z
Ca1 0.000 0.000 0.000
O1 0.500 0.000 0.000
Li1 0.500 0.500 0.500
N1 0.000 0.000 0.500
O2 0.000 0.500 0.000
```

---

Entry 8:
Compound: Mg2AlAg
Source: Alexandria
Functional: meta-GGA SCAN
Structure: PBEsol geometry

Energy of formation from the pure elements = -0.07 eV/atom
Total moment = 0.000 μB per atom

Structure (CIF):
```
data_Mg2AlAg
_chemical_formula_sum 'Mg2 Al1 Ag1'
_symmetry_space_group_name_H-M 'P 1'
_symmetry_Int_Tables_number 1
_symmetry_space_group_name_Hall 'P 1'
_cell_length_a 3.351
_cell_length_b 3.351
_cell_length_c 6.686
_cell_angle_alpha 90.00
_cell_angle_beta 90.00
_cell_angle_gamma 90.00
loop_
_atom_site_label
_atom_site_fract_x
_atom_site_fract_y
_atom_site_fract_z
Al1 0.500 0.500 0.727
Ag1 0.000 0.000 0.517
Mg1 0.000 0.000 0.983
Mg2 0.500 0.500 0.274
```

---

Entry 9:
Compound: CaBrCl2
Source: Alexandria
Functional: meta-GGA SCAN
Structure: PBEsol geometry

Total moment = 0.249 μB per atom
Distance to the lowest polymorph of the same formula = 225.4 meV/atom
ΔE_f (raw) = -1.440 eV/atom

Structure (CIF):
```
data_CaBrCl2
_chemical_formula_sum 'Ca1 Br1 Cl2'
_symmetry_space_group_name_H-M 'P 1'
_symmetry_Int_Tables_number 1
_symmetry_space_group_name_Hall 'P 1'
_cell_length_a 4.736
_cell_length_b 5.265
_cell_length_c 4.736
_cell_angle_alpha 116.73
_cell_angle_beta 90.00
_cell_angle_gamma 116.73
loop_
_atom_site_label
_atom_site_fract_x
_atom_site_fract_y
_atom_site_fract_z
Ca1 0.000 0.000 0.000
Cl1 0.750 0.500 0.250
Br1 0.500 0.000 0.500
Cl2 0.250 0.500 0.750
```

---

Entry 10:
Compound: Nd2InNi2
Source: Alexandria
Functional: meta-GGA SCAN
Structure: PBEsol geometry

Energy of formation from the pure elements = -0.46 eV/atom
Total moment = 0.000 μB per atom

Structure (CIF):
```
data_Nd2InNi2
_chemical_formula_sum 'Nd4 In2 Ni4'
_symmetry_space_group_name_H-M 'P 1'
_symmetry_Int_Tables_number 1
_symmetry_space_group_name_Hall 'P 1'
_cell_length_a 3.767
_cell_length_b 7.398
_cell_length_c 7.401
_cell_angle_alpha 90.00
_cell_angle_beta 90.00
_cell_angle_gamma 90.00
loop_
_atom_site_label
_atom_site_fract_x
_atom_site_fract_y
_atom_site_fract_z
Ni1 0.000 0.381 0.882
Ni2 0.000 0.619 0.118
In1 0.000 0.000 0.000
Nd1 0.500 0.323 0.177
In2 0.000 0.500 0.500
Nd2 0.500 0.177 0.677
Nd3 0.500 0.677 0.823
Nd4 0.500 0.823 0.323
Ni3 0.000 0.881 0.618
Ni4 0.000 0.119 0.382
```

---

Entry 11:
Compound: ZrTlRe2
Source: Alexandria
Functional: meta-GGA SCAN
Structure: PBEsol geometry

Energy of formation from the pure elements = 0.52 eV/atom
Total moment = 0.000 μB per atom
Distance to the lowest polymorph of the same formula = 24.7 meV/atom

Structure (CIF):
```
data_ZrTlRe2
_chemical_formula_sum 'Zr1 Tl1 Re2'
_symmetry_space_group_name_H-M 'P 1'
_symmetry_Int_Tables_number 1
_symmetry_space_group_name_Hall 'P 1'
_cell_length_a 4.009
_cell_length_b 4.009
_cell_length_c 5.202
_cell_angle_alpha 112.67
_cell_angle_beta 112.67
_cell_angle_gamma 90.00
loop_
_atom_site_label
_atom_site_fract_x
_atom_site_fract_y
_atom_site_fract_z
Re1 0.750 0.250 0.500
Re2 0.250 0.750 0.500
Zr1 0.000 0.000 0.000
Tl1 0.500 0.500 0.000
```

---

Entry 12:
Compound: CaTeN2Cl
Source: Alexandria
Functional: meta-GGA SCAN
Structure: PBEsol geometry

Total moment = 0.911 μB per atom
ΔE_f (raw) = 1.072 eV/atom

Structure (CIF):
```
data_CaTeN2Cl
_chemical_formula_sum 'Ca1 Te1 N2 Cl1'
_symmetry_space_group_name_H-M 'P 1'
_symmetry_Int_Tables_number 1
_symmetry_space_group_name_Hall 'P 1'
_cell_length_a 4.479
_cell_length_b 4.479
_cell_length_c 6.444
_cell_angle_alpha 90.00
_cell_angle_beta 90.00
_cell_angle_gamma 90.00
loop_
_atom_site_label
_atom_site_fract_x
_atom_site_fract_y
_atom_site_fract_z
Te1 0.000 0.000 0.500
Ca1 0.000 0.000 0.000
N1 0.500 0.000 0.000
Cl1 0.500 0.500 0.500
N2 0.000 0.500 0.000
```

---

Entry 13:
Compound: LiY2TiAs
Source: Alexandria
Functional: meta-GGA SCAN
Structure: PBEsol geometry

Energy of formation from the pure elements = 0.14 eV/atom
Total moment = 0.855 μB per atom

Structure (CIF):
```
data_LiY2TiAs
_chemical_formula_sum 'Li1 Y2 Ti1 As1'
_symmetry_space_group_name_H-M 'P 1'
_symmetry_Int_Tables_number 1
_symmetry_space_group_name_Hall 'P 1'
_cell_length_a 4.199
_cell_length_b 5.133
_cell_length_c 5.133
_cell_angle_alpha 90.00
_cell_angle_beta 90.00
_cell_angle_gamma 90.00
loop_
_atom_site_label
_atom_site_fract_x
_atom_site_fract_y
_atom_site_fract_z
Y1 0.000 0.000 0.500
As1 0.500 0.000 0.000
Y2 0.000 0.500 0.000
Li1 0.000 0.000 0.000
Ti1 0.500 0.500 0.500
```

---

Entry 14:
Compound: Zr2CdMo
Source: Alexandria
Functional: meta-GGA SCAN
Structure: PBEsol geometry

Energy of formation from the pure elements = 0.08 eV/atom
Total moment = 0.000 μB per atom

Structure (CIF):
```
data_Zr2CdMo
_chemical_formula_sum 'Zr2 Cd1 Mo1'
_symmetry_space_group_name_H-M 'P 1'
_symmetry_Int_Tables_number 1
_symmetry_space_group_name_Hall 'P 1'
_cell_length_a 2.943
_cell_length_b 4.915
_cell_length_c 5.413
_cell_angle_alpha 90.00
_cell_angle_beta 97.83
_cell_angle_gamma 90.00
loop_
_atom_site_label
_atom_site_fract_x
_atom_site_fract_y
_atom_site_fract_z
Mo1 0.372 0.500 0.806
Zr1 0.978 0.000 0.941
Cd1 0.370 0.000 0.468
Zr2 0.780 0.500 0.285
```

---

Entry 15:
Compound: TaSiOs2
Source: Alexandria
Functional: meta-GGA SCAN
Structure: PBEsol geometry

Total moment = 0.000 μB per atom
ΔE_f (raw) = -0.466 eV/atom

Structure (CIF):
```
data_TaSiOs2
_chemical_formula_sum 'Ta1 Si1 Os2'
_symmetry_space_group_name_H-M 'P 1'
_symmetry_Int_Tables_number 1
_symmetry_space_group_name_Hall 'P 1'
_cell_length_a 2.967
_cell_length_b 2.967
_cell_length_c 6.419
_cell_angle_alpha 90.00
_cell_angle_beta 90.00
_cell_angle_gamma 90.00
loop_
_atom_site_label
_atom_site_fract_x
_atom_site_fract_y
_atom_site_fract_z
Os1 0.000 0.000 0.220
Os2 0.000 0.000 0.780
Ta1 0.500 0.500 0.500
Si1 0.500 0.500 0.000
```

---

Entry 16:
Compound: LaY2Ni
Source: Alexandria
Functional: meta-GGA SCAN
Structure: PBEsol geometry

Energy of formation from the pure elements = -0.05 eV/atom
Total moment = 0.023 μB per atom
Distance to the lowest polymorph of the same formula = 118.3 meV/atom

Structure (CIF):
```
data_LaY2Ni
_chemical_formula_sum 'La1 Y2 Ni1'
_symmetry_space_group_name_H-M 'P 1'
_symmetry_Int_Tables_number 1
_symmetry_space_group_name_Hall 'P 1'
_cell_length_a 3.687
_cell_length_b 3.687
_cell_length_c 9.515
_cell_angle_alpha 78.83
_cell_angle_beta 78.83
_cell_angle_gamma 60.00
loop_
_atom_site_label
_atom_site_fract_x
_atom_site_fract_y
_atom_site_fract_z
Ni1 0.251 0.251 0.248
Y1 0.978 0.978 0.066
La1 0.522 0.522 0.434
Y2 0.749 0.749 0.752
```

---

Entry 17:
Compound: ZnFeP2Cl
Source: Alexandria
Functional: meta-GGA SCAN
Structure: PBEsol geometry

Total moment = 0.773 μB per atom
ΔE_f (raw) = 0.915 eV/atom

Structure (CIF):
```
data_ZnFeP2Cl
_chemical_formula_sum 'Zn1 Fe1 P2 Cl1'
_symmetry_space_group_name_H-M 'P 1'
_symmetry_Int_Tables_number 1
_symmetry_space_group_name_Hall 'P 1'
_cell_length_a 4.508
_cell_length_b 4.508
_cell_length_c 4.820
_cell_angle_alpha 90.00
_cell_angle_beta 90.00
_cell_angle_gamma 90.00
loop_
_atom_site_label
_atom_site_fract_x
_atom_site_fract_y
_atom_site_fract_z
Zn1 0.000 0.000 0.000
Cl1 0.000 0.000 0.500
P1 0.000 0.500 0.000
Fe1 0.500 0.500 0.500
P2 0.500 0.000 0.000
```

---

Entry 18:
Compound: MnCo2Au
Source: Alexandria
Functional: meta-GGA SCAN
Structure: PBEsol geometry

Energy of formation from the pure elements = -0.10 eV/atom
Total moment = 1.874 μB per atom

Structure (CIF):
```
data_MnCo2Au
_chemical_formula_sum 'Mn1 Co2 Au1'
_symmetry_space_group_name_H-M 'P 1'
_symmetry_Int_Tables_number 1
_symmetry_space_group_name_Hall 'P 1'
_cell_length_a 4.180
_cell_length_b 4.180
_cell_length_c 4.180
_cell_angle_alpha 60.00
_cell_angle_beta 60.00
_cell_angle_gamma 60.00
loop_
_atom_site_label
_atom_site_fract_x
_atom_site_fract_y
_atom_site_fract_z
Au1 0.500 0.500 0.500
Mn1 0.750 0.750 0.750
Co1 0.000 0.000 0.000
Co2 0.250 0.250 0.250
```

---

Entry 19:
Compound: BeZnIr2Se
Source: Alexandria
Functional: meta-GGA SCAN
Structure: PBEsol geometry

Total moment = 0.000 μB per atom
ΔE_f (raw) = 1.711 eV/atom

Structure (CIF):
```
data_BeZnIr2Se
_chemical_formula_sum 'Be1 Zn1 Ir2 Se1'
_symmetry_space_group_name_H-M 'P 1'
_symmetry_Int_Tables_number 1
_symmetry_space_group_name_Hall 'P 1'
_cell_length_a 4.432
_cell_length_b 4.549
_cell_length_c 4.549
_cell_angle_alpha 90.00
_cell_angle_beta 90.00
_cell_angle_gamma 90.00
loop_
_atom_site_label
_atom_site_fract_x
_atom_site_fract_y
_atom_site_fract_z
Ir1 0.000 0.000 0.500
Ir2 0.000 0.500 0.000
Be1 0.500 0.500 0.500
Zn1 0.000 0.000 0.000
Se1 0.500 0.000 0.000
```

---

Entry 20:
Compound: Y5Sb
Source: Alexandria
Functional: meta-GGA SCAN
Structure: PBEsol geometry

Total moment = 0.000 μB per atom
Distance to the lowest polymorph of the same formula = 82.4 meV/atom
ΔE_f (raw) = -0.292 eV/atom

Structure (CIF):
```
data_Y5Sb
_chemical_formula_sum 'Y5 Sb1'
_symmetry_space_group_name_H-M 'P 1'
_symmetry_Int_Tables_number 1
_symmetry_space_group_name_Hall 'P 1'
_cell_length_a 3.814
_cell_length_b 5.237
_cell_length_c 8.803
_cell_angle_alpha 90.00
_cell_angle_beta 102.51
_cell_angle_gamma 90.00
loop_
_atom_site_label
_atom_site_fract_x
_atom_site_fract_y
_atom_site_fract_z
Y1 0.330 0.000 0.660
Y2 0.779 0.500 0.557
Y3 0.461 0.500 0.921
Y4 0.114 0.500 0.227
Y5 0.653 0.000 0.307
Sb1 0.997 0.000 0.994
```

---

no.,VASP energy (eV per atom)
1,-52.075
2,-39.042
3,-19.189
4,-19.000
5,-22.044
6,-18.949
7,-6.953
8,-12.333
9,-12.710
10,-31.038
11,-60.790
12,-13.623
13,-18.719
14,-31.591
15,-55.556
16,-28.793
17,-11.169
18,-30.602
19,-34.318
20,-29.705